[1]
Here is a relaxed SnTe3C crystal from Alexandria via LeMat-Bulk. Energies are from PBEsol.

The value obtained for the raw formation energy is 0.737 eV per atom.

a = 4.8266 Å, b = 4.8266 Å, c = 4.8266 Å
α = 90.00°, β = 90.00°, γ = 90.00°
Last column: nearest neighbours and their distance in Å.
Fractional positions:
1 Sn 0.0000 0.0000 0.0000  12 Te 3.41
2 Te 0.0000 0.5000 0.5000  2 C 2.41
3 Te 0.5000 0.0000 0.5000  2 C 2.41
4 Te 0.5000 0.5000 0.0000  2 C 2.41
5 C 0.5000 0.5000 0.5000  6 Te 2.41

---

[2]
Here is a relaxed LaYTa2N crystal from Alexandria via LeMat-Bulk. Energies are from PBEsol.

The value obtained for the raw formation energy is -0.269 eV per atom.

a = 4.3026 Å, b = 4.3026 Å, c = 5.0869 Å
α = 90.00°, β = 90.00°, γ = 90.00°
Last column: nearest neighbours and their distance in Å.
Fractional positions:
1 La 0.0000 0.0000 0.0000  4 Y 3.04, 8 Ta 3.33
2 Y 0.5000 0.5000 0.0000  2 N 2.54
3 Ta 0.0000 0.5000 0.5000  2 N 2.15
4 Ta 0.5000 0.0000 0.5000  2 N 2.15
5 N 0.5000 0.5000 0.5000  4 Ta 2.15

---

[3]
Here is a relaxed VAgH2O4 crystal from Alexandria via LeMat-Bulk. Energies are from PBEsol.

For the raw total energy, the calculation gives -6.4622 eV/atom.

a = 6.9315 Å, b = 3.6623 Å, c = 15.3537 Å
α = 90.00°, β = 90.00°, γ = 90.00°
Last column: nearest neighbours and their distance in Å.
Fractional positions:
1 V 0.1230 0.2500 0.0588  2 O 1.64-1.70
2 V 0.3770 0.7500 0.5588  2 O 1.64-1.70
3 V 0.6230 0.2500 0.4412  2 O 1.64-1.70
4 V 0.8770 0.7500 0.9412  2 O 1.64-1.70
5 Ag 0.0848 0.7500 0.4101  2 O 2.12-2.17
6 Ag 0.4152 0.2500 0.9101  2 O 2.12-2.17
7 Ag 0.5848 0.7500 0.0899  2 O 2.12-2.17
8 Ag 0.9152 0.2500 0.5899  2 O 2.12-2.17
9 H 0.1181 0.5376 0.2400  1 O 1.00
10 H 0.1181 0.9624 0.2400  1 O 1.00
11 H 0.3819 0.0376 0.7400  1 O 1.00
12 H 0.3819 0.4624 0.7400  1 O 1.00
13 H 0.6181 0.5376 0.2600  1 O 1.00
14 H 0.6181 0.9624 0.2600  1 O 1.00
15 H 0.8819 0.0376 0.7600  1 O 1.00
16 H 0.8819 0.4624 0.7600  1 O 1.00
17 O 0.0665 0.2500 0.1629  2 H 1.63, 1 V 1.64
18 O 0.0839 0.7500 0.0292  3 V 1.91-1.97
19 O 0.1331 0.7500 0.5497  1 V 1.70
20 O 0.1602 0.7500 0.2766  2 H 1.00
21 O 0.3398 0.2500 0.7766  2 H 1.00
22 O 0.3669 0.2500 0.0497  1 V 1.70
23 O 0.4161 0.2500 0.5292  3 V 1.91-1.97
24 O 0.4335 0.7500 0.6629  2 H 1.63, 1 V 1.64
25 O 0.5665 0.2500 0.3371  2 H 1.63, 1 V 1.64
26 O 0.5839 0.7500 0.4708  3 V 1.91-1.97
27 O 0.6331 0.7500 0.9503  1 V 1.70
28 O 0.6602 0.7500 0.2234  2 H 1.00
29 O 0.8398 0.2500 0.7234  2 H 1.00
30 O 0.8669 0.2500 0.4503  1 V 1.70
31 O 0.9161 0.2500 0.9708  3 V 1.91-1.97
32 O 0.9335 0.7500 0.8371  2 H 1.63, 1 V 1.64

---

[4]
Here is a relaxed Sr4MgZr crystal from Alexandria via LeMat-Bulk. Energies are from PBEsol.

For the raw total energy, the calculation gives -2.2900 eV/atom.

a = 6.9572 Å, b = 6.9572 Å, c = 6.9572 Å
α = 60.00°, β = 60.00°, γ = 60.00°
Last column: nearest neighbours and their distance in Å.
Fractional positions:
1 Sr 0.1242 0.1242 0.1242  6 Sr 3.46-3.50
2 Sr 0.1242 0.1242 0.6274  6 Sr 3.46-3.50
3 Sr 0.1242 0.6274 0.1242  6 Sr 3.46-3.50
4 Sr 0.6274 0.1242 0.1242  6 Sr 3.46-3.50
5 Mg 0.5000 0.5000 0.5000  12 Sr 4.08, 4 Zr 4.26
6 Zr 0.7500 0.7500 0.7500  12 Sr 4.08, 4 Mg 4.26

---

[5]
Here is a relaxed CsNaP2Cl crystal from Alexandria via LeMat-Bulk. Energies are from PBEsol.

The value obtained for the raw formation energy is 0.785 eV per atom.

a = 6.4990 Å, b = 6.4990 Å, c = 6.2850 Å
α = 90.00°, β = 90.00°, γ = 90.00°
Last column: nearest neighbours and their distance in Å.
Fractional positions:
1 Cs 0.0000 0.0000 0.0000  2 Cl 3.14, 4 P 3.25
2 Na 0.5000 0.5000 0.5000  8 P 4.52, 4 Cl 4.60
3 P 0.0000 0.5000 0.0000  2 Cs 3.25
4 P 0.5000 0.0000 0.0000  2 Cs 3.25
5 Cl 0.0000 0.0000 0.5000  2 Cs 3.14

---

[6]
Here is a relaxed Sc5Ni crystal from Alexandria via LeMat-Bulk. Energies are from PBEsol.

For the raw total energy, the calculation gives -6.6640 eV/atom.

a = 5.6996 Å, b = 5.6996 Å, c = 7.4851 Å
α = 110.62°, β = 110.62°, γ = 33.44°
Last column: nearest neighbours and their distance in Å.
Fractional positions:
1 Sc 0.0000 0.0000 0.0000  12 Sc 3.08-3.38
2 Sc 0.3321 0.3321 0.2063  2 Ni 2.81, 2 Sc 3.06-3.07
3 Sc 0.3654 0.3654 0.6309  2 Ni 2.62
4 Sc 0.6346 0.6346 0.3691  2 Ni 2.62
5 Sc 0.6679 0.6679 0.7937  2 Ni 2.81, 2 Sc 3.06-3.07
6 Ni 0.0000 0.0000 0.5000  8 Sc 2.62-2.81

---

[7]
Here is a relaxed AlTe2AuN crystal from Alexandria via LeMat-Bulk. Energies are from PBEsol.

The value obtained for the raw formation energy is 0.354 eV per atom.

a = 5.5079 Å, b = 5.5079 Å, c = 3.4038 Å
α = 90.00°, β = 90.00°, γ = 90.00°
Last column: nearest neighbours and their distance in Å.
Fractional positions:
1 Al 0.0000 0.0000 0.0000  2 N 1.70
2 Te 0.0000 0.5000 0.0000  2 Al 2.75
3 Te 0.5000 0.0000 0.0000  2 Al 2.75
4 Au 0.5000 0.5000 0.5000  8 Te 3.24, 2 Au 3.40
5 N 0.0000 0.0000 0.5000  2 Al 1.70

---

[8]
Here is a relaxed Sr2MoPb crystal from Alexandria via LeMat-Bulk. Energies are from PBEsol.

For the raw total energy, the calculation gives -4.3660 eV/atom.

a = 6.4273 Å, b = 6.4273 Å, c = 6.4273 Å
α = 143.75°, β = 129.98°, γ = 63.33°
Last column: nearest neighbours and their distance in Å.
Fractional positions:
1 Sr 0.0000 0.0000 0.0000  4 Pb 3.43, 4 Sr 3.54-3.77, 4 Mo 3.57-3.70
2 Sr 0.7076 0.2076 0.5000  4 Mo 3.44, 4 Pb 3.51-3.75, 4 Sr 3.54-3.77
3 Mo 0.2707 0.7707 0.5000  2 Pb 2.76
4 Pb 0.4443 0.4443 0.0000  2 Mo 2.76

---

[9]
Here is a relaxed CaTlAg2 crystal from Alexandria via LeMat-Bulk. Energies are from PBEsol.

For the raw total energy, the calculation gives -3.0363 eV/atom.

a = 5.2189 Å, b = 5.2189 Å, c = 5.2189 Å
α = 128.95°, β = 127.75°, γ = 76.06°
Last column: nearest neighbours and their distance in Å.
Fractional positions:
1 Ca 0.0000 0.0000 0.0000  8 Ag 3.06-3.22, 4 Tl 3.06-3.07
2 Tl 0.2527 0.7527 0.5000  8 Ag 3.04-3.22, 4 Ca 3.06-3.07
3 Ag 0.5021 0.5021 0.0000  4 Ag 3.02-3.11, 4 Tl 3.04-3.09, 4 Ca 3.22
4 Ag 0.7477 0.2477 0.5000  4 Ag 3.02-3.11, 4 Ca 3.06-3.07, 4 Tl 3.22

---

[10]
Here is a relaxed TaBeAg2 crystal from Alexandria via LeMat-Bulk. Energies are from PBEsol.

For the raw total energy, the calculation gives -5.4985 eV/atom.

a = 5.3730 Å, b = 5.3730 Å, c = 5.3730 Å
α = 150.37°, β = 129.54°, γ = 59.61°
Last column: nearest neighbours and their distance in Å.
Fractional positions:
1 Ta 0.0000 0.0000 0.0000  4 Be 2.67, 2 Ta 2.75
2 Be 0.5000 0.5000 0.0000  4 Ag 2.42, 4 Ta 2.67
3 Ag 0.2860 0.7860 0.5000  2 Be 2.42
4 Ag 0.7140 0.2140 0.5000  2 Be 2.42

---

[11]
Here is a relaxed LaMnP3 crystal from Alexandria via LeMat-Bulk. Energies are from PBEsol.

For the raw total energy, the calculation gives -5.2491 eV/atom.

a = 5.2310 Å, b = 5.2310 Å, c = 5.2310 Å
α = 90.00°, β = 90.00°, γ = 90.00°
Last column: nearest neighbours and their distance in Å.
Fractional positions:
1 La 0.0000 0.0000 0.0000  6 P 2.62
2 Mn 0.5000 0.5000 0.5000  12 P 3.70
3 P 0.0000 0.0000 0.5000  2 La 2.62
4 P 0.0000 0.5000 0.0000  2 La 2.62
5 P 0.5000 0.0000 0.0000  2 La 2.62

---

[12]
Here is a relaxed LiTl2Cd crystal from Alexandria via LeMat-Bulk. Energies are from PBEsol.

For the raw total energy, the calculation gives -2.2068 eV/atom.

a = 4.5989 Å, b = 4.5989 Å, c = 4.3645 Å
α = 90.00°, β = 90.00°, γ = 90.00°
Last column: nearest neighbours and their distance in Å.
Fractional positions:
1 Li 0.0000 0.0000 0.0000  8 Tl 3.17, 4 Cd 3.25
2 Tl 0.0000 0.5000 0.5000  4 Cd 3.17, 4 Li 3.17, 4 Tl 3.25
3 Tl 0.5000 0.0000 0.5000  4 Cd 3.17, 4 Li 3.17, 4 Tl 3.25
4 Cd 0.5000 0.5000 0.0000  8 Tl 3.17, 4 Li 3.25

---

[13]
Here is a relaxed Li3TlSi crystal from Alexandria via LeMat-Bulk. Energies are from PBEsol.

The value obtained for the raw formation energy is 0.526 eV per atom.

a = 4.8851 Å, b = 4.8851 Å, c = 4.8851 Å
α = 90.00°, β = 90.00°, γ = 90.00°
Last column: nearest neighbours and their distance in Å.
Fractional positions:
1 Li 0.0000 0.0000 0.5000  2 Tl 2.44
2 Li 0.0000 0.5000 0.0000  2 Tl 2.44
3 Li 0.5000 0.0000 0.0000  2 Tl 2.44
4 Tl 0.0000 0.0000 0.0000  6 Li 2.44
5 Si 0.5000 0.5000 0.5000  12 Li 3.45

---

[14]
Here is a relaxed ZrSi2As crystal from Alexandria via LeMat-Bulk. Energies are from PBEsol.

The value obtained for the raw formation energy is -0.072 eV per atom.

a = 5.7844 Å, b = 5.7844 Å, c = 5.7844 Å
α = 102.56°, β = 102.56°, γ = 124.40°
Last column: nearest neighbours and their distance in Å.
Fractional positions:
1 Zr 0.0000 0.0000 0.0000  2 As 2.70, 4 Si 2.75
2 Zr 0.7500 0.2500 0.5000  2 As 2.70, 4 Si 2.75
3 Si 0.1451 0.1250 0.5201  2 As 2.55, 2 Si 2.71, 2 Zr 2.75
4 Si 0.3750 0.8549 0.9799  2 As 2.55, 2 Si 2.71, 2 Zr 2.75
5 Si 0.6049 0.6250 0.4799  2 As 2.55, 2 Si 2.71, 2 Zr 2.75
6 Si 0.8750 0.3951 0.0201  2 As 2.55, 2 Si 2.71, 2 Zr 2.75
7 As 0.2500 0.7500 0.5000  4 Si 2.55, 2 Zr 2.70
8 As 0.5000 0.5000 0.0000  4 Si 2.55, 2 Zr 2.70

---

[15]
Here is a relaxed KRhIN2 crystal from Alexandria via LeMat-Bulk. Energies are from PBEsol.

The value obtained for the raw formation energy is 0.782 eV per atom.

a = 4.0534 Å, b = 4.0534 Å, c = 5.6527 Å
α = 90.00°, β = 90.00°, γ = 90.00°
Last column: nearest neighbours and their distance in Å.
Fractional positions:
1 K 0.0000 0.0000 0.0000  4 I 2.87
2 Rh 0.5000 0.5000 0.5000  4 N 2.03
3 I 0.5000 0.5000 0.0000  2 Rh 2.83, 4 K 2.87
4 N 0.0000 0.5000 0.5000  2 Rh 2.03
5 N 0.5000 0.0000 0.5000  2 Rh 2.03

---

[16]
Here is a relaxed ZnBPCl2 crystal from Alexandria via LeMat-Bulk. Energies are from PBEsol.

The value obtained for the raw formation energy is 0.513 eV per atom.

a = 4.1962 Å, b = 4.1962 Å, c = 4.4503 Å
α = 90.00°, β = 90.00°, γ = 90.00°
Last column: nearest neighbours and their distance in Å.
Fractional positions:
1 Zn 0.0000 0.0000 0.0000  4 P 2.97, 8 Cl 3.06
2 B 0.5000 0.5000 0.5000  4 Cl 2.10, 2 P 2.23
3 P 0.5000 0.5000 0.0000  2 B 2.23
4 Cl 0.0000 0.5000 0.5000  2 B 2.10
5 Cl 0.5000 0.0000 0.5000  2 B 2.10

---

[17]
Here is a relaxed Li2SiSnW crystal from Alexandria via LeMat-Bulk. Energies are from PBEsol.

The value obtained for the raw formation energy is 1.527 eV per atom.

a = 4.5356 Å, b = 4.5356 Å, c = 5.0675 Å
α = 90.00°, β = 90.00°, γ = 90.00°
Last column: nearest neighbours and their distance in Å.
Fractional positions:
1 Li 0.0000 0.5000 0.0000  2 Sn 2.27
2 Li 0.5000 0.0000 0.0000  2 Sn 2.27
3 Si 0.0000 0.0000 0.5000  2 Sn 2.53
4 Sn 0.0000 0.0000 0.0000  4 Li 2.27, 2 Si 2.53
5 W 0.5000 0.5000 0.5000  4 Si 3.21, 8 Li 3.40

---

[18]
Here is a relaxed K2MnCl6 crystal from Alexandria via LeMat-Bulk. Energies are from PBEsol.

The value obtained for the raw formation energy is -1.394 eV per atom.

a = 6.7765 Å, b = 6.7765 Å, c = 6.7765 Å
α = 60.00°, β = 60.00°, γ = 60.00°
Last column: nearest neighbours and their distance in Å.
Fractional positions:
1 K 0.2500 0.2500 0.2500  12 Cl 3.39
2 K 0.7500 0.7500 0.7500  12 Cl 3.39
3 Mn 0.0000 0.0000 0.0000  6 Cl 2.26
4 Cl 0.2354 0.2354 0.7646  1 Mn 2.26
5 Cl 0.2354 0.7646 0.2354  1 Mn 2.26
6 Cl 0.2354 0.7646 0.7646  1 Mn 2.26
7 Cl 0.7646 0.2354 0.2354  1 Mn 2.26
8 Cl 0.7646 0.2354 0.7646  1 Mn 2.26
9 Cl 0.7646 0.7646 0.2354  1 Mn 2.26

---

[19]
Here is a relaxed Mn12Re17 crystal from Alexandria via LeMat-Bulk. Energies are from PBEsol.

For the raw total energy, the calculation gives -11.9381 eV/atom.

a = 7.8560 Å, b = 7.8560 Å, c = 7.8560 Å
α = 109.47°, β = 109.47°, γ = 109.47°
Last column: nearest neighbours and their distance in Å.
Fractional positions:
1 Mn 0.0000 0.6417 0.8141  3 Mn 2.21-2.38
2 Mn 0.0000 0.8141 0.6417  3 Mn 2.21-2.38
3 Mn 0.1724 0.3583 0.3583  3 Mn 2.21-2.38
4 Mn 0.1859 0.1859 0.8276  3 Mn 2.21-2.38
5 Mn 0.1859 0.8276 0.1859  3 Mn 2.21-2.38
6 Mn 0.3583 0.1724 0.3583  3 Mn 2.21-2.38
7 Mn 0.3583 0.3583 0.1724  3 Mn 2.21-2.38
8 Mn 0.6417 0.0000 0.8141  3 Mn 2.21-2.38
9 Mn 0.6417 0.8141 0.0000  3 Mn 2.21-2.38
10 Mn 0.8141 0.0000 0.6417  3 Mn 2.21-2.38
11 Mn 0.8141 0.6417 0.0000  3 Mn 2.21-2.38
12 Mn 0.8276 0.1859 0.1859  3 Mn 2.21-2.38
13 Re 0.0000 0.0000 0.0000  12 Mn 2.71, 4 Re 2.84
14 Re 0.0000 0.0000 0.3610  4 Re 2.61-2.84, 6 Mn 2.70
15 Re 0.0000 0.3185 0.6104  5 Mn 2.51-2.79, 7 Re 2.61-2.73
16 Re 0.0000 0.3610 0.0000  4 Re 2.61-2.84, 6 Mn 2.70
17 Re 0.0000 0.6104 0.3185  5 Mn 2.51-2.79, 7 Re 2.61-2.73
18 Re 0.2919 0.6815 0.6815  5 Mn 2.51-2.79, 7 Re 2.61-2.73
19 Re 0.3185 0.0000 0.6104  5 Mn 2.51-2.79, 7 Re 2.61-2.73
20 Re 0.3185 0.6104 0.0000  5 Mn 2.51-2.79, 7 Re 2.61-2.73
21 Re 0.3610 0.0000 0.0000  4 Re 2.61-2.84, 6 Mn 2.70
22 Re 0.3896 0.3896 0.7081  5 Mn 2.51-2.79, 7 Re 2.61-2.73
23 Re 0.3896 0.7081 0.3896  5 Mn 2.51-2.79, 7 Re 2.61-2.73
24 Re 0.6104 0.0000 0.3185  5 Mn 2.51-2.79, 7 Re 2.61-2.73
25 Re 0.6104 0.3185 0.0000  5 Mn 2.51-2.79, 7 Re 2.61-2.73
26 Re 0.6390 0.6390 0.6390  4 Re 2.61-2.84, 6 Mn 2.70
27 Re 0.6815 0.2919 0.6815  5 Mn 2.51-2.79, 7 Re 2.61-2.73
28 Re 0.6815 0.6815 0.2919  5 Mn 2.51-2.79, 7 Re 2.61-2.73
29 Re 0.7081 0.3896 0.3896  5 Mn 2.51-2.79, 7 Re 2.61-2.73

---

[20]
Here is a relaxed TiNb crystal from Alexandria via LeMat-Bulk. Energies are from PBEsol.

For the raw total energy, the calculation gives -9.5377 eV/atom.

a = 2.8148 Å, b = 2.8148 Å, c = 4.5525 Å
α = 90.00°, β = 90.00°, γ = 109.98°
Last column: nearest neighbours and their distance in Å.
Fractional positions:
1 Ti 0.0000 0.0000 0.0000  4 Nb 2.79, 4 Ti 2.81
2 Nb 0.5000 0.5000 0.5000  4 Ti 2.79, 4 Nb 2.81